(1)
Density functional theory data (PBEsol) for an optimized crystal structure of PIr2Pb.

Cell: 6.375 6.375 6.375 Å, 90.00 90.00 90.00°
Space group Fm-3m (No. 225)
Inequivalent atoms, fractional coordinates:
P 0.000 0.000 0.000 (multiplicity 4)
Ir 0.250 0.250 0.250 (multiplicity 8)
Pb 0.000 0.000 0.500 (multiplicity 4)

Properties
Its crystal system is cubic. For the relative energy among the computed polymorphs, the calculation gives 433 meV per atom. The value obtained for the density of states at the Fermi level is 1.431 states/eV per atom.


(2)
Density functional theory data (PBEsol) for an optimized crystal structure of Sc2AgIr.

Cell: 6.540 6.540 6.540 Å, 90.00 90.00 90.00°
Space group Fm-3m (No. 225)
Inequivalent atoms, fractional coordinates:
Sc 0.250 0.250 0.250 (multiplicity 8)
Ag 0.000 0.000 0.000 (multiplicity 4)
Ir 0.000 0.000 0.500 (multiplicity 4)

Properties
Its crystal system is cubic. For the relative energy among the computed polymorphs, the calculation gives 4 meV per atom. The value obtained for the density of states at the Fermi level is 0.564 states/eV per atom.


(3)
Density functional theory data (PBEsol) for an optimized crystal structure of CaGaCu.

Cell: 9.961 4.373 7.111 Å, 90.00 132.64 90.00°
Space group C2/m (No. 12)
Inequivalent atoms, fractional coordinates:
Ca 0.058 0.000 0.311 (multiplicity 4)
Ga 0.171 0.500 0.101 (multiplicity 4)
Cu 0.161 0.500 0.727 (multiplicity 4)

Properties
Its crystal system is monoclinic. The value obtained for the density of states at the Fermi level is 0.513 states/eV per atom. The final energy is -43.4 eV for the cell shown.


(4)
Density functional theory data (PBEsol) for an optimized crystal structure of BaLi2In.

Cell: 8.491 4.901 6.514 Å, 90.00 115.68 90.00°
Space group Cm (No. 8)
Inequivalent atoms, fractional coordinates:
Ba 0.000 0.000 0.000 (multiplicity 2)
Li 0.010 0.500 0.531 (multiplicity 2)
Li 0.313 0.500 0.439 (multiplicity 2)
In 0.201 0.000 0.603 (multiplicity 2)

Properties
Its crystal system is monoclinic. The value obtained for the density of states at the Fermi level is 0.874 states/eV per atom. The final energy is -19.8 eV for the cell shown.


(5)
Density functional theory data (PBEsol) for an optimized crystal structure of Ba2NbRe.

Cell: 7.503 7.503 7.503 Å, 90.00 90.00 90.00°
Space group Fm-3m (No. 225)
Inequivalent atoms, fractional coordinates:
Ba 0.250 0.250 0.250 (multiplicity 8)
Nb 0.000 0.000 0.000 (multiplicity 4)
Re 0.000 0.000 0.500 (multiplicity 4)

Properties
Its crystal system is cubic. The value obtained for the density of states at the Fermi level is 1.796 states/eV per atom. The final energy is -86.5 eV for the cell shown.


(6)
Density functional theory data (PBEsol) for an optimized crystal structure of Li2CaCu.

Cell: 4.4114 4.4114 14.8461 Å, 90.00 90.00 120.00°
Space group R3m (No. 160, hexagonal axes)
Inequivalent atoms, fractional coordinates:
Li 0.0000 0.0000 0.0000 (multiplicity 3)
Li 0.0000 0.0000 0.2762 (multiplicity 3)
Ca 0.0000 0.0000 0.4797 (multiplicity 3)
Cu 0.0000 0.0000 0.6866 (multiplicity 3)

Properties
Its crystal system is trigonal. For the relative energy among the computed polymorphs, the calculation gives 8 meV per atom. The value obtained for the density of states at the Fermi level is 0.472 states/eV per atom.